(1)
The following is a GGA-PBE calculation of an optimized crystal structure of Na3ZnGa, from Alexandria via LeMat-Bulk.

Structure (POSCAR):
```
Na3ZnGa
1.0
-4.263 -6.425 0.168
3.150 1.617 6.852
-3.227 5.448 -2.025
Na Zn Ga
6 2 2
Cartesian
-0.109 0.512 2.407
-3.932 -4.012 -0.200
-2.014 3.315 1.951
-2.326 -2.675 3.044
-4.231 0.128 2.588
-0.407 4.652 5.195
-2.059 -0.155 4.812
-2.281 0.795 0.183
0.414 0.357 5.555
-4.753 0.283 -0.560
```

Properties
Excess energy over the best structure of this formula in the dataset: 0 meV/atom
Space group: No. 12
E_form: 0.2 eV per formula unit
Calculated volume: 27.8 A^3/atom
Crystal system: monoclinic



(2)
The following is a GGA-PBE calculation of an optimized crystal structure of MgSb2Te, from Alexandria via LeMat-Bulk.

Structure (POSCAR):
```
MgSb2Te
1.0
-7.797 -0.693 -2.282
-4.809 -5.123 -4.137
5.696 1.561 5.621
Mg Sb Te
1 2 1
Cartesian
-2.708 -3.235 -0.863
-5.788 -2.670 -2.947
-0.515 -0.238 -0.262
-4.202 -1.020 0.065
```

Properties
Excess energy over the best structure of this formula in the dataset: 173 meV/atom
Space group: No. 71
Calculated volume: 30.6 A^3/atom
Crystal system: orthorhombic
Energy relative to the elements, uncorrected: -0.10 eV per atom



Please write out number 1 again, unchanged.
The following is a GGA-PBE calculation of an optimized crystal structure of Na3ZnGa, from Alexandria via LeMat-Bulk.

Structure (POSCAR):
```
Na3ZnGa
1.0
-4.263 -6.425 0.168
3.150 1.617 6.852
-3.227 5.448 -2.025
Na Zn Ga
6 2 2
Cartesian
-0.109 0.512 2.407
-3.932 -4.012 -0.200
-2.014 3.315 1.951
-2.326 -2.675 3.044
-4.231 0.128 2.588
-0.407 4.652 5.195
-2.059 -0.155 4.812
-2.281 0.795 0.183
0.414 0.357 5.555
-4.753 0.283 -0.560
```

Properties
Excess energy over the best structure of this formula in the dataset: 0 meV/atom
Space group: No. 12
E_form: 0.2 eV per formula unit
Calculated volume: 27.8 A^3/atom
Crystal system: monoclinic



Q: Among the records above, which one has the lowest excess energy over the best structure of this formula in the dataset?
A: Na3ZnGa



Please write out number 1 again, unchanged.
The following is a GGA-PBE calculation of an optimized crystal structure of Na3ZnGa, from Alexandria via LeMat-Bulk.

Structure (POSCAR):
```
Na3ZnGa
1.0
-4.263 -6.425 0.168
3.150 1.617 6.852
-3.227 5.448 -2.025
Na Zn Ga
6 2 2
Cartesian
-0.109 0.512 2.407
-3.932 -4.012 -0.200
-2.014 3.315 1.951
-2.326 -2.675 3.044
-4.231 0.128 2.588
-0.407 4.652 5.195
-2.059 -0.155 4.812
-2.281 0.795 0.183
0.414 0.357 5.555
-4.753 0.283 -0.560
```

Properties
Excess energy over the best structure of this formula in the dataset: 0 meV/atom
Space group: No. 12
E_form: 0.2 eV per formula unit
Calculated volume: 27.8 A^3/atom
Crystal system: monoclinic



Q: Among the records above, which one has the lowest calculated volume?
A: Na3ZnGa